First-principles (PBE-GGA) data for a geometry-optimized Ba6P2PbI3 structure, as listed in Alexandria via LeMat-Bulk.

Lattice parameters (Å, degrees): 11.315 11.315 10.444 105.27 105.27 24.10
Positions (direct):
Ba1 0.018 0.018 0.253
Ba2 0.321 0.321 0.444
Ba3 0.335 0.335 0.874
Ba4 0.665 0.665 0.126
Ba5 0.679 0.679 0.556
Ba6 0.982 0.982 0.747
P1 0.170 0.170 0.341
P2 0.830 0.830 0.659
Pb1 0.500 0.500 0.000
I1 0.165 0.165 0.829
I2 0.500 0.500 0.500
I3 0.835 0.835 0.171

Values from the calculation:
The calculation puts the density of states at the Fermi level at 5.28 states/eV per cell. Its total magnetic moment is 0.14 μB per cell. As for the total energy: -45.7 eV/cell. The value obtained for the density is 4.7 g cm⁻³. Its energy relative to the elements, uncorrected is -1.253 eV per atom.

---

First-principles (PBE-GGA) data for a geometry-optimized Ba6PPb2I3 structure, as listed in Alexandria via LeMat-Bulk.

Lattice parameters (Å, degrees): 8.209 8.209 9.159 99.14 99.14 113.21
Positions (direct):
Ba1 0.068 0.387 0.708
Ba2 0.214 0.214 0.267
Ba3 0.387 0.068 0.708
Ba4 0.613 0.932 0.292
Ba5 0.786 0.786 0.733
Ba6 0.932 0.613 0.292
P1 0.000 0.000 0.500
Pb1 0.361 0.639 0.500
Pb2 0.639 0.361 0.500
I1 0.177 0.823 0.000
I2 0.500 0.500 0.000
I3 0.823 0.177 0.000

Values from the calculation:
The calculation puts the density of states at the Fermi level at 2.81 states/eV per cell. Its total magnetic moment is 0.00 μB per cell. As for the total energy: -42.2 eV/cell. The value obtained for the density is 5.0 g cm⁻³. Its energy relative to the elements, uncorrected is -1.096 eV per atom.

---

First-principles (PBE-GGA) data for a geometry-optimized Ba8P3PdI4 structure, as listed in Alexandria via LeMat-Bulk.

Lattice parameters (Å, degrees): 10.031 10.031 10.031 56.60 56.60 56.60
Positions (direct):
Ba1 0.228 0.736 0.736
Ba2 0.234 0.234 0.234
Ba3 0.264 0.264 0.772
Ba4 0.264 0.772 0.264
Ba5 0.736 0.228 0.736
Ba6 0.736 0.736 0.228
Ba7 0.766 0.766 0.766
Ba8 0.772 0.264 0.264
P1 0.000 0.000 0.500
P2 0.000 0.500 0.000
P3 0.500 0.000 0.000
Pd1 0.500 0.500 0.500
I1 0.000 0.000 0.000
I2 0.000 0.500 0.500
I3 0.500 0.000 0.500
I4 0.500 0.500 0.000

Values from the calculation:
The calculation puts the density of states at the Fermi level at 7.65 states/eV per cell. Its total magnetic moment is 0.60 μB per cell. As for the total energy: -63.8 eV/cell. The value obtained for the density is 4.6 g cm⁻³. Its energy relative to the elements, uncorrected is -1.301 eV per atom.

---

First-principles (PBE-GGA) data for a geometry-optimized Ba8PPd3I3 structure, as listed in Alexandria via LeMat-Bulk.

Lattice parameters (Å, degrees): 9.451 9.451 10.126 117.86 117.86 59.98
Positions (direct):
Ba1 0.232 0.232 0.699
Ba2 0.232 0.735 0.699
Ba3 0.263 0.263 0.289
Ba4 0.265 0.768 0.301
Ba5 0.735 0.232 0.699
Ba6 0.737 0.737 0.711
Ba7 0.768 0.265 0.301
Ba8 0.768 0.768 0.301
P1 0.000 0.000 0.500
Pd1 0.000 0.500 0.500
Pd2 0.500 0.000 0.500
Pd3 0.500 0.500 0.500
I1 0.000 0.000 0.000
I2 0.000 0.500 0.000
I3 0.500 0.000 0.000

Values from the calculation:
The calculation puts the density of states at the Fermi level at 10.08 states/eV per cell. Its total magnetic moment is 0.13 μB per cell. As for the total energy: -55.2 eV/cell. The value obtained for the density is 4.6 g cm⁻³. Its energy relative to the elements, uncorrected is -0.943 eV per atom.

---

First-principles (PBE-GGA) data for a geometry-optimized Ba2PPdI structure, as listed in Alexandria via LeMat-Bulk.

Lattice parameters (Å, degrees): 6.265 6.265 4.537 90.00 90.00 90.00
Positions (direct):
Ba1 0.000 0.500 0.000
Ba2 0.500 0.000 0.000
P1 0.000 0.000 0.000
Pd1 0.000 0.000 0.500
I1 0.500 0.500 0.500

Values from the calculation:
The calculation puts the density of states at the Fermi level at 1.80 states/eV per cell. Its total magnetic moment is 0.00 μB per cell. As for the total energy: -21.2 eV/cell. The value obtained for the density is 5.0 g cm⁻³. Its energy relative to the elements, uncorrected is -1.040 eV per atom.

---

First-principles (PBE-GGA) data for a geometry-optimized Ba6PPd2I3 structure, as listed in Alexandria via LeMat-Bulk.

Lattice parameters (Å, degrees): 8.202 8.202 8.977 98.80 98.80 120.03
Positions (direct):
Ba1 0.067 0.395 0.201
Ba2 0.260 0.260 0.798
Ba3 0.395 0.067 0.201
Ba4 0.605 0.933 0.799
Ba5 0.740 0.740 0.202
Ba6 0.933 0.605 0.799
P1 0.000 0.000 0.000
Pd1 0.333 0.667 0.000
Pd2 0.667 0.333 0.000
I1 0.166 0.834 0.500
I2 0.500 0.500 0.500
I3 0.834 0.166 0.500

Values from the calculation:
The calculation puts the density of states at the Fermi level at 8.79 states/eV per cell. Its total magnetic moment is 0.01 μB per cell. As for the total energy: -45.3 eV/cell. The value obtained for the density is 4.8 g cm⁻³. Its energy relative to the elements, uncorrected is -1.106 eV per atom.

---

First-principles (PBE-GGA) data for a geometry-optimized Ba8P3PdI3 structure, as listed in Alexandria via LeMat-Bulk.

Lattice parameters (Å, degrees): 9.922 9.922 9.922 57.37 57.37 57.37
Positions (direct):
Ba1 0.223 0.742 0.742
Ba2 0.235 0.235 0.235
Ba3 0.258 0.258 0.777
Ba4 0.258 0.777 0.258
Ba5 0.742 0.223 0.742
Ba6 0.742 0.742 0.223
Ba7 0.765 0.765 0.765
Ba8 0.777 0.258 0.258
P1 0.000 0.000 0.500
P2 0.000 0.500 0.000
P3 0.500 0.000 0.000
Pd1 0.500 0.500 0.500
I1 0.000 0.500 0.500
I2 0.500 0.000 0.500
I3 0.500 0.500 0.000

Values from the calculation:
The calculation puts the density of states at the Fermi level at 4.55 states/eV per cell. Its total magnetic moment is 0.00 μB per cell. As for the total energy: -59.1 eV/cell. The value obtained for the density is 4.3 g cm⁻³. Its energy relative to the elements, uncorrected is -1.176 eV per atom.

---

First-principles (PBE-GGA) data for a geometry-optimized BaPmPI structure, as listed in Alexandria via LeMat-Bulk.

Lattice parameters (Å, degrees): 8.631 8.631 8.631 29.22 29.22 29.22
Positions (direct):
Ba1 0.000 0.000 0.000
Pm1 0.202 0.202 0.202
P1 0.590 0.590 0.590
I1 0.778 0.778 0.778

Values from the calculation:
The calculation puts the density of states at the Fermi level at 2.62 states/eV per cell. Its total magnetic moment is 0.00 μB per cell. As for the total energy: -19.0 eV/cell. The value obtained for the density is 5.4 g cm⁻³. Its energy relative to the elements, uncorrected is -1.348 eV per atom.

---

First-principles (PBE-GGA) data for a geometry-optimized Ba2PrP2I2 structure, as listed in Alexandria via LeMat-Bulk.

Lattice parameters (Å, degrees): 9.750 9.750 9.750 147.16 147.16 47.13
Positions (direct):
Ba1 0.113 0.113 0.000
Ba2 0.887 0.887 0.000
Pr1 0.500 0.500 0.000
P1 0.000 0.500 0.500
P2 0.500 0.000 0.500
I1 0.315 0.315 0.000
I2 0.685 0.685 0.000

Values from the calculation:
The calculation puts the density of states at the Fermi level at 3.30 states/eV per cell. Its total magnetic moment is 0.00 μB per cell. As for the total energy: -31.5 eV/cell. The value obtained for the density is 4.5 g cm⁻³. Its energy relative to the elements, uncorrected is -1.285 eV per atom.

---

First-principles (PBE-GGA) data for a geometry-optimized BaPrPI structure, as listed in Alexandria via LeMat-Bulk.

Lattice parameters (Å, degrees): 8.689 8.689 8.689 29.29 29.29 29.29
Positions (direct):
Ba1 0.000 0.000 0.000
Pr1 0.798 0.798 0.798
P1 0.409 0.409 0.409
I1 0.224 0.224 0.224

Values from the calculation:
The calculation puts the density of states at the Fermi level at 2.57 states/eV per cell. Its total magnetic moment is 0.00 μB per cell. As for the total energy: -19.1 eV/cell. The value obtained for the density is 5.2 g cm⁻³. Its energy relative to the elements, uncorrected is -1.353 eV per atom.

---

First-principles (PBE-GGA) data for a geometry-optimized Ba2PPtI structure, as listed in Alexandria via LeMat-Bulk.

Lattice parameters (Å, degrees): 6.276 6.276 4.464 90.00 90.00 90.00
Positions (direct):
Ba1 0.000 0.500 0.000
Ba2 0.500 0.000 0.000
P1 0.000 0.000 0.000
Pt1 0.000 0.000 0.500
I1 0.500 0.500 0.500

Values from the calculation:
The calculation puts the density of states at the Fermi level at 1.99 states/eV per cell. Its total magnetic moment is 0.00 μB per cell. As for the total energy: -22.3 eV/cell. The value obtained for the density is 5.9 g cm⁻³. Its energy relative to the elements, uncorrected is -1.085 eV per atom.

---

First-principles (PBE-GGA) data for a geometry-optimized Ba8PPt3I3 structure, as listed in Alexandria via LeMat-Bulk.

Lattice parameters (Å, degrees): 9.392 9.392 10.076 117.82 117.82 59.98
Positions (direct):
Ba1 0.232 0.733 0.697
Ba2 0.236 0.236 0.706
Ba3 0.267 0.267 0.303
Ba4 0.267 0.768 0.303
Ba5 0.733 0.232 0.697
Ba6 0.733 0.733 0.697
Ba7 0.764 0.764 0.294
Ba8 0.768 0.267 0.303
P1 0.500 0.500 0.500
Pt1 0.000 0.000 0.500
Pt2 0.000 0.500 0.500
Pt3 0.500 0.000 0.500
I1 0.000 0.500 0.000
I2 0.500 0.000 0.000
I3 0.500 0.500 0.000

Values from the calculation:
The calculation puts the density of states at the Fermi level at 10.23 states/eV per cell. Its total magnetic moment is 0.04 μB per cell. As for the total energy: -59.6 eV/cell. The value obtained for the density is 5.4 g cm⁻³. Its energy relative to the elements, uncorrected is -1.069 eV per atom.

---

- energy relative to the elements, uncorrected of number 9 (Ba2PrP2I2)?
  -1.285 eV per atom

---

Please write out number 10 again, unchanged.
First-principles (PBE-GGA) data for a geometry-optimized BaPrPI structure, as listed in Alexandria via LeMat-Bulk.

Lattice parameters (Å, degrees): 8.689 8.689 8.689 29.29 29.29 29.29
Positions (direct):
Ba1 0.000 0.000 0.000
Pr1 0.798 0.798 0.798
P1 0.409 0.409 0.409
I1 0.224 0.224 0.224

Values from the calculation:
The calculation puts the density of states at the Fermi level at 2.57 states/eV per cell. Its total magnetic moment is 0.00 μB per cell. As for the total energy: -19.1 eV/cell. The value obtained for the density is 5.2 g cm⁻³. Its energy relative to the elements, uncorrected is -1.353 eV per atom.

---

- Which value of total magnetic moment does entry 1 give?
  0.14 μB per cell